Record 1
A plane-wave DFT calculation with PBE was carried out for a geometry-optimized AcPm4Dy7 structure.

Calculated values
Symmetry ... P-1 (2)
Uncorrected energy ... -55.07 eV per formula unit
Energy above the most stable polymorph in this dataset ... 0 meV/atom
Formation energy ... 0.021 eV/atom
Total moment ... 0.00 μB/f.u.

Cell: 7.293 9.639 9.001 Å, 81.08 89.97 40.93°
Positions (direct):
Ac 0.000 0.000 0.000
Dy 0.223 0.777 0.663
Dy 0.500 0.000 0.000
Pm 0.467 0.281 0.664
Pm 0.721 0.779 0.667
Dy 0.028 0.720 0.335
Pm 0.279 0.221 0.333
Dy 0.248 0.500 0.001
Dy 0.972 0.280 0.665
Dy 0.777 0.223 0.337
Pm 0.533 0.719 0.336
Dy 0.752 0.500 0.999

***

Record 2
A plane-wave DFT calculation with PBE was carried out for a geometry-optimized Ac2PmDy3 structure.

Calculated values
Symmetry ... C2/c (15)
Uncorrected energy ... -25.94 eV per formula unit
Formation energy ... 0.140 eV/atom
Total moment ... 0.00 μB/f.u.

Cell: 7.545 9.004 7.480 Å, 102.00 90.00 114.77°
Positions (direct):
Dy 0.118 0.232 0.558
Dy 0.286 0.000 0.250
Ac 0.680 0.366 0.092
Ac 0.320 0.634 0.908
Dy 0.115 0.232 0.058
Ac 0.314 0.634 0.408
Dy 0.714 0.000 0.750
Dy 0.885 0.768 0.942
Dy 0.882 0.768 0.442
Pm 0.711 0.000 0.250
Pm 0.289 0.000 0.750
Ac 0.686 0.366 0.592

***

Record 3
A plane-wave DFT calculation with PBE was carried out for a geometry-optimized AcPm7Dy12 structure.

Calculated values
Symmetry ... R-3 (148)
Uncorrected energy ... -88.01 eV per formula unit
Energy above the most stable polymorph in this dataset ... 0 meV/atom
Formation energy ... 0.229 eV/atom
Total moment ... 0.00 μB/f.u.

Cell: 8.824 8.824 8.824 Å, 86.67 86.67 86.67°
Positions (direct):
Pm 0.604 0.934 0.843
Pm 0.157 0.396 0.066
Dy 0.505 0.376 0.869
Pm 0.934 0.843 0.604
Dy 0.849 0.271 0.721
Dy 0.271 0.721 0.849
Dy 0.729 0.279 0.151
Dy 0.721 0.849 0.271
Dy 0.869 0.505 0.376
Dy 0.376 0.869 0.505
Pm 0.500 0.500 0.500
Ac 0.000 0.000 0.000
Dy 0.151 0.729 0.279
Pm 0.396 0.066 0.157
Dy 0.279 0.151 0.729
Dy 0.624 0.131 0.495
Dy 0.495 0.624 0.131
Dy 0.131 0.495 0.624
Pm 0.843 0.604 0.934
Pm 0.066 0.157 0.396

***

Record 4
A plane-wave DFT calculation with PBE was carried out for a geometry-optimized AcPm2Dy8 structure.

Calculated values
Symmetry ... Immm (71)
Uncorrected energy ... -48.97 eV per formula unit
Formation energy ... 0.133 eV/atom
Total moment ... 0.00 μB/f.u.

Cell: 5.538 8.281 9.512 Å, 115.80 106.92 90.00°
Positions (direct):
Dy 0.644 0.440 0.289
Ac 0.500 0.000 0.000
Pm 0.199 0.699 0.398
Pm 0.801 0.301 0.602
Dy 0.161 0.161 0.322
Dy 0.356 0.151 0.711
Dy 0.644 0.849 0.289
Dy 0.839 0.839 0.678
Dy 0.356 0.560 0.711
Dy 0.000 0.703 0.000
Dy 0.000 0.297 0.000

***

Record 5
A plane-wave DFT calculation with PBE was carried out for a geometry-optimized AcPm2Dy5 structure.

Calculated values
Symmetry ... P-1 (2)
Uncorrected energy ... -36.30 eV per formula unit
Energy above the most stable polymorph in this dataset ... 5 meV/atom
Formation energy ... 0.039 eV/atom
Total moment ... 0.00 μB/f.u.

Cell: 8.623 17.623 12.166 Å, 46.28 63.49 54.94°
Positions (direct):
Dy 0.686 0.121 0.663
Dy 0.312 0.631 0.093
Dy 0.185 0.246 0.781
Dy 0.314 0.879 0.337
Ac 0.936 0.807 0.851
Dy 0.186 0.996 0.537
Ac 0.064 0.193 0.149
Pm 0.687 0.618 0.163
Dy 0.062 0.692 0.646
Dy 0.441 0.180 0.226
Dy 0.942 0.555 0.599
Dy 0.936 0.056 0.099
Dy 0.688 0.369 0.907
Pm 0.308 0.129 0.590
Ac 0.556 0.320 0.278
Pm 0.692 0.871 0.410
Dy 0.815 0.754 0.219
Dy 0.064 0.944 0.901
Dy 0.183 0.492 0.038
Ac 0.444 0.680 0.722
Dy 0.058 0.445 0.401
Dy 0.568 0.566 0.523
Pm 0.435 0.933 0.976
Dy 0.432 0.434 0.477
Pm 0.192 0.744 0.285
Pm 0.313 0.382 0.837
Dy 0.559 0.820 0.774
Dy 0.817 0.508 0.962
Dy 0.814 0.004 0.463
Pm 0.565 0.067 0.024
Dy 0.938 0.308 0.354
Pm 0.808 0.256 0.715

***

Record 6
A plane-wave DFT calculation with PBE was carried out for a geometry-optimized AcPm7Dy4 structure.

Calculated values
Symmetry ... C2/m (12)
Uncorrected energy ... -52.47 eV per formula unit
Energy above the most stable polymorph in this dataset ... 262 meV/atom
Formation energy ... 0.275 eV/atom
Total moment ... 0.08 μB/f.u.

Cell: 6.167 11.562 6.888 Å, 83.10 63.41 74.53°
Positions (direct):
Dy 0.745 0.682 0.828
Pm 0.500 0.000 0.000
Pm 0.215 0.083 0.488
Ac 0.000 0.000 0.000
Pm 0.785 0.917 0.512
Dy 0.630 0.224 0.515
Dy 0.370 0.776 0.485
Pm 0.944 0.339 0.773
Pm 0.630 0.495 0.245
Pm 0.370 0.505 0.755
Pm 0.056 0.661 0.227
Dy 0.255 0.318 0.172

***

Record 7
A plane-wave DFT calculation with PBE was carried out for a geometry-optimized Ac2Pm3Dy structure.

Calculated values
Symmetry ... C2/m (12)
Uncorrected energy ... -26.39 eV per formula unit
Formation energy ... 0.114 eV/atom
Total moment ... 0.00 μB/f.u.

Cell: 6.130 7.141 12.026 Å, 71.19 75.24 64.58°
Positions (direct):
Pm 0.125 0.030 0.721
Pm 0.884 0.593 0.639
Pm 0.382 0.097 0.138
Ac 0.134 0.695 0.037
Dy 0.622 0.538 0.218
Pm 0.116 0.407 0.361
Ac 0.368 0.802 0.463
Pm 0.618 0.903 0.862
Dy 0.378 0.462 0.782
Ac 0.632 0.198 0.537
Ac 0.866 0.305 0.963
Pm 0.875 0.970 0.279

***

Record 8
A plane-wave DFT calculation with PBE was carried out for a geometry-optimized Ac4Pm6Dy structure.

Calculated values
Symmetry ... I-42m (121)
Uncorrected energy ... -46.77 eV per formula unit
Formation energy ... 0.252 eV/atom
Total moment ... 0.00 μB/f.u.

Cell: 9.778 9.778 9.778 Å, 62.40 137.03 137.03°
Positions (direct):
Ac 0.000 0.626 0.015
Pm 0.661 0.229 0.229
Pm 0.339 0.568 0.568
Pm 0.500 0.500 0.000
Ac 0.389 0.374 0.374
Ac 0.000 0.015 0.626
Pm 0.000 0.771 0.432
Pm 0.000 0.432 0.771
Dy 0.000 0.000 0.000
Pm 0.500 0.000 0.500
Ac 0.611 0.985 0.985